Below is crystalline YBe2Ag at its relaxed geometry, with properties calculated at the PBE-GGA level.

Cell lengths 4.537, 4.537, 4.537 Å; angles 60.00, 60.00, 60.00 degrees
Atoms (fractional coordinates):
Be  0.250  0.250  0.250
Be  0.000  0.000  0.000
Ag  0.500  0.500  0.500
Y  0.750  0.750  0.750

Calculated values
The calculation puts the raw total energy at -4.00 eV per atom. For the size of the total moment, the calculation gives 0.00 μB per atom.


Below is crystalline HoCdAg2 at its relaxed geometry, with properties calculated at the PBE-GGA level.

Cell lengths 5.023, 6.698, 5.022 Å; angles 90.00, 90.00, 90.00 degrees
Atoms (fractional coordinates):
Ag  0.500  0.254  0.305
Ag  0.000  0.754  0.695
Ag  0.500  0.746  0.305
Ag  0.000  0.246  0.695
Ho  0.500  0.000  0.805
Ho  0.000  0.500  0.195
Cd  0.500  0.500  0.787
Cd  0.000  0.000  0.213

Calculated values
Its formation energy is -0.30 eV per atom. The calculation puts the raw total energy at -3.08 eV per atom. For the size of the total moment, the calculation gives 0.00 μB per atom.


Below is crystalline CsAsAuO at its relaxed geometry, with properties calculated at the PBE-GGA level.

Cell lengths 3.602, 10.659, 5.172 Å; angles 90.00, 90.00, 90.00 degrees
Atoms (fractional coordinates):
As  0.000  0.472  0.480
As  0.000  0.528  0.980
O  0.500  0.874  0.906
O  0.500  0.126  0.406
Au  0.500  0.689  0.944
Au  0.500  0.311  0.444
Cs  0.000  0.118  0.925
Cs  0.000  0.882  0.425

Calculated values
The energy above the most stable polymorph in this dataset comes out at 0.0 kJ/mol of atoms. The calculation puts the raw total energy at -3.88 eV per atom.


Below is crystalline InFeNi at its relaxed geometry, with properties calculated at the PBE-GGA level.

Cell lengths 7.078, 7.078, 2.945 Å; angles 90.00, 90.00, 120.00 degrees
Site moments in Bohr magnetons follow the coordinates.
Atoms (fractional coordinates):
Ni  0.000  0.000  0.000  0.22
Ni  0.333  0.667  0.500  0.50
Ni  0.667  0.333  0.500  0.49
In  0.293  0.000  0.500  -0.06
In  0.707  0.707  0.500  -0.06
In  0.000  0.293  0.500  -0.06
Fe  0.000  0.625  0.000  2.69
Fe  0.375  0.375  0.000  2.72
Fe  0.625  0.000  0.000  2.71

Calculated values
The energy above the most stable polymorph in this dataset comes out at 7.8 kJ/mol of atoms. The calculation puts the raw total energy at -5.35 eV per atom. For the size of the total moment, the calculation gives 1.01 μB per atom.


Below is crystalline Re7W5 at its relaxed geometry, with properties calculated at the PBE-GGA level.

Cell lengths 5.140, 5.140, 16.739 Å; angles 90.00, 90.00, 120.00 degrees
Atoms (fractional coordinates):
W  0.500  0.500  0.500
W  0.500  0.000  0.500
W  0.000  0.000  0.405
W  0.000  0.000  0.595
W  0.500  0.000  0.000
W  0.000  0.500  0.500
W  0.500  0.500  0.000
W  0.000  0.000  0.095
W  0.000  0.500  0.000
W  0.000  0.000  0.905
Re  0.333  0.667  0.839
Re  0.333  0.667  0.372
Re  0.333  0.667  0.128
Re  0.320  0.160  0.750
Re  0.667  0.333  0.872
Re  0.667  0.333  0.339
Re  0.680  0.840  0.250
Re  0.840  0.680  0.750
Re  0.667  0.333  0.161
Re  0.333  0.667  0.661
Re  0.160  0.320  0.250
Re  0.667  0.333  0.628
Re  0.840  0.160  0.750
Re  0.160  0.840  0.250

Calculated values
The energy above the most stable polymorph in this dataset comes out at 0.0 kJ/mol of atoms. Its formation energy is 0.31 eV per atom. The calculation puts the raw total energy at -12.33 eV per atom. For the size of the total moment, the calculation gives 0.00 μB per atom.


Below is crystalline TmMg2Cu9 at its relaxed geometry, with properties calculated at the PBE-GGA level.

Cell lengths 8.531, 8.531, 8.531 Å; angles 33.97, 33.97, 33.97 degrees
Atoms (fractional coordinates):
Cu  0.586  0.586  0.082
Cu  0.414  0.414  0.918
Cu  0.414  0.918  0.414
Cu  0.082  0.586  0.586
Cu  0.586  0.082  0.586
Cu  0.667  0.667  0.667
Cu  0.333  0.333  0.333
Cu  0.500  0.500  0.500
Cu  0.918  0.414  0.414
Mg  0.145  0.145  0.145
Mg  0.855  0.855  0.855
Tm  0.000  0.000  0.000

Calculated values
The calculation puts the raw total energy at -3.60 eV per atom. For the size of the total moment, the calculation gives 0.00 μB per atom.


Question: The lowest raw total energy belongs to which entry?
Answer: Re7W5